# Tc2PIr

A crystal of Tc2PIr relaxed with PBEsol (SCAN, the Alexandria database).

Computed properties:
E_form in kcal/mol of atoms: -0.7
Uncorrected energy in eV per atom: -37.934
Fermi-level density of states in states/eV/atom: 0.79
Magnetization in μB per formula unit: 0.00
Volume in A^3/atom: 13.872

Cell lengths 2.821, 4.298, 4.768 Å; angles 88.70, 73.77, 89.84 degrees
Space group P-1 (No. 2)
Asymmetric unit:
Tc 0.208 0.243 0.055 (multiplicity 2)
P 0.000 0.500 0.500 (multiplicity 1)
Ir 0.500 0.000 0.500 (multiplicity 1)


# TcP2Ir

A crystal of TcP2Ir relaxed with PBEsol (SCAN, the Alexandria database).

Computed properties:
E_form in kcal/mol of atoms: -7.3
Uncorrected energy in eV per atom: -32.058
Fermi-level density of states in states/eV/atom: 0.44
Magnetization in μB per formula unit: 0.00
Energy above the lowest structure with this stoichiometry in meV per atom: 55
Volume in A^3/atom: 17.653

Cell lengths 5.239, 5.239, 10.292 Å; angles 90.00, 90.00, 90.00 degrees
Space group I-42d (No. 122)
Asymmetric unit:
Tc 0.000 0.000 0.000 (multiplicity 4)
P 0.249 0.250 0.625 (multiplicity 8)
Ir 0.000 0.000 0.500 (multiplicity 4)


# Tc2PIr

A crystal of Tc2PIr relaxed with PBEsol (SCAN, the Alexandria database).

Computed properties:
E_form in kcal/mol of atoms: -6.3
Uncorrected energy in eV per atom: -38.180
Fermi-level density of states in states/eV/atom: 0.61
Magnetization in μB per formula unit: 0.00
Volume in A^3/atom: 13.501

Cell lengths 10.070, 2.778, 3.865 Å; angles 90.00, 92.57, 90.00 degrees
Space group Cm (No. 8)
Asymmetric unit:
Tc 0.000 0.000 0.000 (multiplicity 2)
Tc 0.130 0.500 0.519 (multiplicity 2)
P 0.401 0.000 0.530 (multiplicity 2)
Ir 0.264 0.000 0.029 (multiplicity 2)


# Tc2PIr

A crystal of Tc2PIr relaxed with PBEsol (SCAN, the Alexandria database).

Computed properties:
E_form in kcal/mol of atoms: 1.8
Uncorrected energy in eV per atom: -37.829
Fermi-level density of states in states/eV/atom: 0.78
Magnetization in μB per formula unit: 0.00
Volume in A^3/atom: 13.349

Cell lengths 3.758, 3.758, 7.563 Å; angles 90.00, 90.00, 90.00 degrees
Space group I-4m2 (No. 119)
Asymmetric unit:
Tc 0.000 0.000 0.000 (multiplicity 2)
Tc 0.000 0.500 0.250 (multiplicity 2)
P 0.000 0.500 0.750 (multiplicity 2)
Ir 0.000 0.000 0.500 (multiplicity 2)


# TcP2Ir

A crystal of TcP2Ir relaxed with PBEsol (SCAN, the Alexandria database).

Computed properties:
E_form in kcal/mol of atoms: -3.5
Uncorrected energy in eV per atom: -31.891
Fermi-level density of states in states/eV/atom: 0.52
Magnetization in μB per formula unit: 0.00
Energy above the lowest structure with this stoichiometry in meV per atom: 221
Volume in A^3/atom: 13.159

Cell lengths 2.8811, 2.8811, 21.9650 Å; angles 90.00, 90.00, 120.00 degrees
Space group R-3m (No. 166, hexagonal axes)
Asymmetric unit:
Tc 0.0000 0.0000 0.0000 (multiplicity 3)
P 0.0000 0.0000 0.2525 (multiplicity 6)
Ir 0.0000 0.0000 0.5000 (multiplicity 3)


# TcPIr2

A crystal of TcPIr2 relaxed with PBEsol (SCAN, the Alexandria database).

Computed properties:
E_form in kcal/mol of atoms: 6.4
Uncorrected energy in eV per atom: -46.638
Fermi-level density of states in states/eV/atom: 0.69
Magnetization in μB per formula unit: 1.90
Volume in A^3/atom: 14.008

Cell lengths 5.199, 9.199, 2.732 Å; angles 90.00, 120.93, 90.00 degrees
Space group C2/m (No. 12)
Asymmetric unit:
Tc 0.000 0.000 0.000 (multiplicity 2)
P 0.000 0.500 0.000 (multiplicity 2)
Ir 0.250 0.250 0.500 (multiplicity 4)


# Te2P2Ir

A crystal of Te2P2Ir relaxed with PBEsol (SCAN, the Alexandria database).

Computed properties:
Uncorrected energy in eV per atom: -32.871
Fermi-level density of states in states/eV/atom: 0.38
Magnetization in μB per formula unit: 0.00
Formation energy (no corrections) in eV per formula unit: 2.0
Volume in A^3/atom: 19.909

Cell lengths 3.299, 3.299, 18.294 Å; angles 90.00, 90.00, 90.00 degrees
Space group I4/mmm (No. 139)
Asymmetric unit:
Te 0.000 0.000 0.088 (multiplicity 4)
P 0.000 0.500 0.250 (multiplicity 4)
Ir 0.000 0.000 0.500 (multiplicity 2)


# TePIr2

A crystal of TePIr2 relaxed with PBEsol (SCAN, the Alexandria database).

Computed properties:
Uncorrected energy in eV per atom: -47.559
Fermi-level density of states in states/eV/atom: 0.43
Magnetization in μB per formula unit: 0.00
Formation energy (no corrections) in eV per formula unit: -0.4
Energy above the lowest structure with this stoichiometry in meV per atom: 0
Volume in A^3/atom: 17.219

Cell lengths 3.7487, 3.7487, 16.9788 Å; angles 90.00, 90.00, 120.00 degrees
Space group R-3m (No. 166, hexagonal axes)
Asymmetric unit:
Te 0.0000 0.0000 0.0000 (multiplicity 3)
P 0.0000 0.0000 0.5000 (multiplicity 3)
Ir 0.0000 0.0000 0.2203 (multiplicity 6)


Please write out number 8 again, unchanged.
# TePIr2

A crystal of TePIr2 relaxed with PBEsol (SCAN, the Alexandria database).

Computed properties:
Uncorrected energy in eV per atom: -47.559
Fermi-level density of states in states/eV/atom: 0.43
Magnetization in μB per formula unit: 0.00
Formation energy (no corrections) in eV per formula unit: -0.4
Energy above the lowest structure with this stoichiometry in meV per atom: 0
Volume in A^3/atom: 17.219

Cell lengths 3.7487, 3.7487, 16.9788 Å; angles 90.00, 90.00, 120.00 degrees
Space group R-3m (No. 166, hexagonal axes)
Asymmetric unit:
Te 0.0000 0.0000 0.0000 (multiplicity 3)
P 0.0000 0.0000 0.5000 (multiplicity 3)
Ir 0.0000 0.0000 0.2203 (multiplicity 6)